## TaInSi2 (GGA-PBE)

Data for a relaxed TaInSi2 crystal.

a b c (Å): 3.700 4.670 8.570
angles (deg): 90.00 90.00 90.00
Space group Cmmm (No. 65)
Symmetry-distinct sites (fractional):
1 Ta 0.000 0.000 0.000 [2 per cell]
2 In 0.000 0.000 0.500 [2 per cell]
3 Si 0.000 0.500 0.216 [4 per cell]


## TaIn2Si (GGA-PBE)

Data for a relaxed TaIn2Si crystal.

a b c (Å): 3.003 3.003 9.097
angles (deg): 90.00 90.00 90.00
Space group P4mm (No. 99)
Symmetry-distinct sites (fractional):
1 Ta 0.000 0.000 0.000 [1 per cell]
2 In 0.000 0.000 0.547 [1 per cell]
3 In 0.500 0.500 0.246 [1 per cell]
4 Si 0.500 0.500 0.804 [1 per cell]


## TaInSi2 (GGA-PBE)

Data for a relaxed TaInSi2 crystal.

a b c (Å): 3.683 4.639 8.348
angles (deg): 90.00 90.00 90.00
Space group Cmm2 (No. 35)
Symmetry-distinct sites (fractional):
1 Ta 0.000 0.000 0.000 [2 per cell]
2 In 0.000 0.500 0.716 [2 per cell]
3 Si 0.000 0.000 0.424 [2 per cell]
4 Si 0.000 0.500 0.219 [2 per cell]


## TaInSi2 (GGA-PBE)

Data for a relaxed TaInSi2 crystal.

a b c (Å): 3.875 3.875 9.173
angles (deg): 90.00 90.00 90.00
Space group I-4m2 (No. 119)
Symmetry-distinct sites (fractional):
1 Ta 0.000 0.000 0.000 [2 per cell]
2 In 0.000 0.500 0.750 [2 per cell]
3 Si 0.000 0.000 0.500 [2 per cell]
4 Si 0.000 0.500 0.250 [2 per cell]


## TaInSi2 (GGA-PBE)

Data for a relaxed TaInSi2 crystal.

a b c (Å): 2.973 2.973 8.144
angles (deg): 90.00 90.00 90.00
Space group P4mm (No. 99)
Symmetry-distinct sites (fractional):
1 Ta 0.000 0.000 0.000 [1 per cell]
2 In 0.500 0.500 0.285 [1 per cell]
3 Si 0.000 0.000 0.604 [1 per cell]
4 Si 0.500 0.500 0.787 [1 per cell]


## TaInSi2 (GGA-PBE)

Data for a relaxed TaInSi2 crystal.

a b c (Å): 3.488 3.488 5.702
angles (deg): 90.00 90.00 90.00
Space group P4mm (No. 99)
Symmetry-distinct sites (fractional):
1 Ta 0.000 0.000 0.000 [1 per cell]
2 In 0.500 0.500 0.310 [1 per cell]
3 Si 0.000 0.000 0.557 [1 per cell]
4 Si 0.500 0.500 0.810 [1 per cell]


Taking the records one at a time from the top gives magnetization values of 0.0; 0.0; 0.0; 0.0; 0.0; 0.0 μB per cell.
Taking the records one at a time from the top gives energy values of -6.22; -5.48; -6.07; -6.05; -6.06; -6.20 eV/atom.
Taking the records one at a time from the top gives calculated volume values of 18.510; 20.510; 17.832; 17.221; 17.994; 17.339 Å³ per atom.